[1]
Pr2Cd3Pd5: relaxed, PBE-GGA.

a b c (Å): 5.827 9.101 9.101
angles (deg): 88.24 71.33 71.33
Atoms (fractional coordinates):
Pd (0.870, 0.976, 0.284)
Pd (0.130, 0.024, 0.716)
Pd (0.992, 0.758, 0.758)
Pd (0.008, 0.242, 0.242)
Pd (0.508, 0.242, 0.242)
Pd (0.750, 0.500, 0.500)
Pd (0.370, 0.284, 0.976)
Pd (0.492, 0.758, 0.758)
Pd (0.250, 0.500, 0.500)
Pd (0.630, 0.716, 0.024)
Cd (0.622, 0.512, 0.243)
Cd (0.122, 0.243, 0.512)
Cd (0.750, 0.000, 0.000)
Cd (0.250, 0.000, 0.000)
Cd (0.878, 0.757, 0.488)
Cd (0.378, 0.488, 0.757)
Pr (0.877, 0.354, 0.893)
Pr (0.123, 0.646, 0.107)
Pr (0.377, 0.893, 0.354)
Pr (0.623, 0.107, 0.646)

total moment: 0.000 μB per formula unit
energy: -4.283 eV/atom
formation enthalpy at 0 K: -0.456 eV per atom
space group: Ibam

[2]
Pr3Cd2Pd7: relaxed, PBE-GGA.

a b c (Å): 4.116 4.254 14.894
angles (deg): 98.18 90.00 90.00
Atoms (fractional coordinates):
Pd (0.500, 0.073, 0.145)
Pd (0.500, 0.278, 0.556)
Pd (0.000, 0.428, 0.857)
Pd (0.000, 0.572, 0.143)
Pd (0.500, 0.927, 0.855)
Pd (0.000, 0.000, 0.000)
Pd (0.500, 0.722, 0.444)
Pr (0.500, 0.500, 0.000)
Pr (0.000, 0.189, 0.378)
Pr (0.000, 0.811, 0.622)
Cd (0.500, 0.631, 0.262)
Cd (0.500, 0.369, 0.738)

total moment: 0.000 μB per formula unit
energy: -4.948 eV/atom
formation enthalpy at 0 K: -0.571 eV per atom
space group: Cmmm

[3]
Pr3Cd2Pd4: relaxed, PBE-GGA.

a b c (Å): 4.330 6.433 9.152
angles (deg): 116.17 90.00 109.67
Atoms (fractional coordinates):
Pd (0.292, 0.584, 0.940)
Pd (0.934, 0.868, 0.588)
Pd (0.708, 0.416, 0.060)
Pd (0.066, 0.132, 0.412)
Cd (0.334, 0.667, 0.666)
Cd (0.666, 0.333, 0.334)
Pr (0.638, 0.275, 0.698)
Pr (0.000, 0.000, 0.000)
Pr (0.362, 0.725, 0.302)

total moment: 0.000 μB per formula unit
energy: -4.756 eV/atom
formation enthalpy at 0 K: -0.651 eV per atom
space group: C2/m

[4]
PrCd3Pd3: relaxed, PBE-GGA.

a b c (Å): 5.823 5.823 5.823
angles (deg): 110.26 110.26 110.26
Atoms (fractional coordinates):
Cd (0.546, 0.546, 0.112)
Cd (0.546, 0.112, 0.546)
Cd (0.112, 0.546, 0.546)
Pd (0.546, 0.060, 0.060)
Pd (0.060, 0.546, 0.060)
Pd (0.060, 0.060, 0.546)
Pr (0.929, 0.929, 0.929)

total moment: 0.000 μB per formula unit
energy: -3.719 eV/atom
formation enthalpy at 0 K: -0.418 eV per atom
space group: R3m

Q: Look up the total moment of the first one.
A: 0.000 μB per formula unit